Entry 1:
Compound: Sr5Ca2Hg
Source: Alexandria
Functional: GGA-PBE
Structure: relaxed

abc: 4.1193 9.7371 18.3135
angles: 90.00 90.00 90.00
Atoms (fractional coordinates):
Sr (0.5000, 0.6959, 0.1072)
Sr (0.0000, 0.9941, 0.7750)
Sr (0.5000, 0.1959, 0.3928)
Sr (0.5000, 0.8041, 0.6072)
Ca (0.5000, 0.3104, 0.1055)
Sr (0.0000, 0.0000, 0.0000)
Sr (0.0000, 0.0059, 0.2250)
Hg (0.0000, 0.5000, 0.0000)
Sr (0.0000, 0.5000, 0.5000)
Sr (0.5000, 0.3041, 0.8928)
Sr (0.0000, 0.4941, 0.7250)
Ca (0.5000, 0.8104, 0.3945)
Sr (0.0000, 0.5059, 0.2750)
Ca (0.5000, 0.1896, 0.6055)
Ca (0.5000, 0.6896, 0.8945)
Hg (0.0000, 0.0000, 0.5000)

Values from the calculation:
**Size of the total moment**: 0.0 μB per cell
**Uncorrected energy**: -1.70 eV per atom
**Calculated formation energy**: -0.11 eV per atom
**Space group**: No. 55
**Mass density**: 3.3 g/cm³


Entry 2:
Compound: TlMo4
Source: Alexandria
Functional: GGA-PBE
Structure: relaxed

abc: 5.1946 5.1946 5.1946
angles: 109.47 109.47 109.47
Atoms (fractional coordinates):
Mo (0.0000, 0.5000, 0.0000)
Mo (0.0000, 0.0000, 0.5000)
Mo (0.5000, 0.5000, 0.5000)
Tl (0.0000, 0.0000, 0.0000)
Mo (0.5000, 0.0000, 0.0000)

Values from the calculation:
**Size of the total moment**: 0.0 μB per cell
**Uncorrected energy**: -6.92 eV per atom
**Calculated formation energy**: 2.22 eV per atom
**Space group**: No. 229
**Mass density**: 9.1 g/cm³


Entry 3:
Compound: InHgBiSb
Source: Alexandria
Functional: GGA-PBE
Structure: relaxed

abc: 5.4686 5.4686 5.4686
angles: 60.00 60.00 60.00
Atoms (fractional coordinates):
Hg (0.5000, 0.5000, 0.5000)
Bi (0.2500, 0.2500, 0.2500)
Sb (0.0000, 0.0000, 0.0000)
In (0.7500, 0.7500, 0.7500)

Values from the calculation:
**Size of the total moment**: 0.0 μB per cell
**Uncorrected energy**: -2.67 eV per atom
**Space group**: No. 216
**Energy relative to the elements, uncorrected**: 0.0896 eV per atom
**Mass density**: 9.3 g/cm³


Entry 4:
Compound: Li4CuHg
Source: Alexandria
Functional: GGA-PBE
Structure: relaxed

abc: 5.0493 5.0493 5.0493
angles: 60.00 60.00 60.00
Atoms (fractional coordinates):
Cu (0.7500, 0.7500, 0.7500)
Hg (0.0000, 0.0000, 0.0000)
Li (0.3752, 0.3752, 0.8744)
Li (0.8744, 0.3752, 0.3752)
Li (0.3752, 0.8744, 0.3752)
Li (0.3752, 0.3752, 0.3752)

Values from the calculation:
**Size of the total moment**: 0.0 μB per cell
**Uncorrected energy**: -1.98 eV per atom
**Calculated formation energy**: 0.03 eV per atom
**Space group**: No. 216
**Mass density**: 5.3 g/cm³